# GGA-PBE LiNdGdIn, relaxed
data_LiNdGdIn
_symmetry_space_group_name_H-M 'F -4 3 m'
_symmetry_Int_Tables_number 216
_symmetry_space_group_name_Hall 'F -4 2 3'
_cell_length_a 7.6104
_cell_length_b 7.6104
_cell_length_c 7.6104
_cell_angle_alpha 90.00
_cell_angle_beta 90.00
_cell_angle_gamma 90.00
loop_
_atom_site_label
_atom_site_fract_x
_atom_site_fract_y
_atom_site_fract_z
Li1 0.0000 0.0000 0.0000
Nd1 0.2500 0.2500 0.2500
Gd1 0.2500 0.2500 0.7500
In1 0.0000 0.0000 0.5000
# ΔE_f, kJ/mol of formula units: -106
# Raw total energy, eV per atom: -6.15
# Total magnetization, μB/cell: 31.503
# Volume, Å³ per atom: 27.549